Record 1
First-principles (GGA-PBE) data for an optimized crystal structure of TlSiSb2, as listed in Alexandria via LeMat-Bulk.

Unit cell a=6.245 b=6.245 c=6.245 alpha=145.51 beta=130.42 gamma=61.80
Sites, in units of the cell vectors:
Si 0.750 0.250 0.500
Tl 0.250 0.750 0.500
Sb 0.552 0.552 0.000
Sb 0.948 0.948 0.000

space-group type = Immm, No. 71
polymorph energy (0 for the lowest one) = 131 meV per atom

***

Record 2
First-principles (GGA-PBE) data for an optimized crystal structure of TbZrCuNi, as listed in Alexandria via LeMat-Bulk.

Unit cell a=4.722 b=4.722 c=4.722 alpha=60.00 beta=60.00 gamma=60.00
Sites, in units of the cell vectors:
Zr 0.500 0.500 0.500
Tb 0.000 0.000 0.000
Cu 0.250 0.250 0.250
Ni 0.750 0.750 0.750

DFT formation energy = -0.1942 eV per atom
space-group type = F-43m, No. 216

***

Record 3
First-principles (GGA-PBE) data for an optimized crystal structure of PmZn2H6Ru, as listed in Alexandria via LeMat-Bulk.

Unit cell a=4.497 b=6.221 c=7.015 alpha=90.00 beta=90.03 gamma=90.00
Sites, in units of the cell vectors:
Pm 0.500 0.000 0.000
Pm 0.000 0.500 0.500
H 0.861 0.671 0.176
H 0.361 0.829 0.676
H 0.639 0.171 0.324
H 0.810 0.840 0.505
H 0.640 0.199 0.652
H 0.860 0.699 0.848
H 0.310 0.660 0.005
H 0.139 0.329 0.824
H 0.360 0.801 0.348
H 0.140 0.301 0.152
H 0.690 0.340 0.995
H 0.190 0.160 0.495
Zn 0.997 0.012 0.715
Zn 0.003 0.988 0.285
Zn 0.497 0.488 0.215
Zn 0.503 0.512 0.785
Ru 0.500 0.000 0.500
Ru 0.000 0.500 0.000

space-group type = P2_1/c, No. 14

***

Result set for E: -3.70, -5.96, -3.74 eV per atom, one per record in the order listed.
Result set for DOS at the Fermi energy: 1.89, 4.37, 3.10 states/eV/f.u., one per record in the order listed.
Result set for total moment: 0.0, 0.0, 0.0 μB/cell, one per record in the order listed.